First-principles (GGA-PBE) data for Ac2Sm3Os2 after structural relaxation, as listed in Alexandria.

* energy: -6.49 eV/atom
* space group: No. 12
* total magnetic moment: 0.0 μB/f.u.
* energy relative to the elements: -0.62 eV/f.u.

POSCAR file:
```
Ac2Sm3Os2
1.0
6.326 -2.042 0.000
6.326 2.042 0.000
-4.067 0.000 8.208
Ac Sm Os
2 3 2
Cartesian
0.869 0.000 2.421
7.716 0.000 5.788
4.407 0.000 0.646
4.292 0.000 4.104
4.178 0.000 7.562
-0.783 0.000 6.027
9.368 0.000 2.181
```